This record from OQMD describes a relaxed structure of KHoAgTe3. The functional is PBE.

a = 8.4714 Å, b = 8.4714 Å, c = 11.3447 Å
α = 90.00°, β = 90.00°, γ = 150.86°
Closest atoms and distances in Å follow each position.
Atoms (fractional coordinates):
Ag  0.5356  0.4644  0.2500  4 Te 2.78-2.83
Ag  0.4644  0.5356  0.7500  4 Te 2.78-2.83
Ho  0.0000  0.0000  0.0000  6 Te 3.08-3.11
Ho  0.0000  0.0000  0.5000  6 Te 3.08-3.11
K  0.2426  0.7574  0.2500  8 Te 3.62-3.96, 2 Ag 4.01
K  0.7574  0.2426  0.7500  8 Te 3.62-3.96, 2 Ag 4.01
Te  0.6315  0.3685  0.0476  1 Ag 2.78, 2 Ho 3.08
Te  0.9219  0.0781  0.2500  2 Ag 2.83, 2 Ho 3.11
Te  0.6315  0.3685  0.4524  1 Ag 2.78, 2 Ho 3.08
Te  0.3685  0.6315  0.5476  1 Ag 2.78, 2 Ho 3.08
Te  0.0781  0.9219  0.7500  2 Ag 2.83, 2 Ho 3.11
Te  0.3685  0.6315  0.9524  1 Ag 2.78, 2 Ho 3.08

Calculated values
As for the crystal system: orthorhombic. Its total energy is -3.891 eV/atom. The volume comes out at 396 Å³/cell.

This record from OQMD describes a relaxed structure of Tb2In6Si4Au. The functional is PBE.

a = 4.5318 Å, b = 4.5318 Å, c = 17.6453 Å
α = 97.39°, β = 97.39°, γ = 59.99°
Closest atoms and distances in Å follow each position.
Atoms (fractional coordinates):
Au  0.0000  0.0000  0.0000  8 In 2.80-2.95
In  0.6857  0.6857  0.0569  3 Au 2.80, 1 Si 2.85
In  0.0563  0.0563  0.1690  3 Si 2.77, 1 Au 2.95
In  0.8136  0.8136  0.4409  4 Si 2.71-2.79
In  0.1864  0.1864  0.5591  4 Si 2.71-2.79
In  0.9437  0.9437  0.8310  3 Si 2.77, 1 Au 2.95
In  0.3143  0.3143  0.9431  3 Au 2.80, 1 Si 2.85
Si  0.7401  0.7401  0.2204  4 In 2.77-2.85, 3 Tb 3.03
Si  0.1331  0.1331  0.3993  4 In 2.71-2.79
Si  0.8669  0.8669  0.6007  4 In 2.71-2.79
Si  0.2599  0.2599  0.7796  4 In 2.77-2.85, 3 Tb 3.03
Tb  0.4361  0.4361  0.3084  6 Si 3.03-3.06
Tb  0.5639  0.5639  0.6916  6 Si 3.03-3.06

Calculated values
As for the crystal system: trigonal. Its total energy is -4.052 eV/atom. The volume comes out at 310 Å³/cell.

This record from OQMD describes a relaxed structure of SrAsAuO. The functional is PBE.

a = 6.3021 Å, b = 6.3021 Å, c = 4.7789 Å
α = 90.00°, β = 90.00°, γ = 90.00°
Closest atoms and distances in Å follow each position.
Atoms (fractional coordinates):
As  0.5000  0.0000  0.0109  2 Au 2.39
As  0.0000  0.5000  0.9891  2 Au 2.39
Au  0.0000  0.5000  0.4886  2 As 2.39
Au  0.5000  0.0000  0.5114  2 As 2.39
O  0.0000  0.0000  0.0000  2 Sr 2.39
O  0.5000  0.5000  0.0000  2 Sr 2.39
Sr  0.0000  0.0000  0.5000  2 O 2.39
Sr  0.5000  0.5000  0.5000  2 O 2.39

Calculated values
As for the crystal system: tetragonal. Its total energy is -4.136 eV/atom. The volume comes out at 190 Å³/cell.